(1)
# Sr3P

A relaxed Sr3P crystal (PBE-GGA, Alexandria via LeMat-Bulk).

Computed properties:
calculated formation energy	-203	meV per atom
DFT total energy	-2.817	eV/atom

abc: 7.2756 7.2756 11.6659
angles: 90.00 90.00 120.00
Closest atoms and distances in Å follow each position.
Sites, in units of the cell vectors:
1 Sr 0.6835 0.8418 0.7500  8 Sr 3.45-3.82, 4 P 3.53-3.64
2 Sr 0.5000 0.0000 0.0000  4 P 3.59-3.64, 8 Sr 3.63-3.64
3 P 0.0000 0.0000 0.0000  12 Sr 3.53-3.64
4 Sr 0.8418 0.1582 0.2500  8 Sr 3.45-3.82, 4 P 3.53-3.64
5 Sr 0.3165 0.1582 0.2500  8 Sr 3.45-3.82, 4 P 3.53-3.64
6 P 0.6667 0.3333 0.7500  12 Sr 3.59-3.64
7 Sr 0.5000 0.0000 0.5000  4 P 3.59-3.64, 8 Sr 3.63-3.64
8 Sr 0.0000 0.5000 0.0000  4 P 3.59-3.64, 8 Sr 3.63-3.64
9 Sr 0.5000 0.5000 0.5000  4 P 3.59-3.64, 8 Sr 3.63-3.64
10 Sr 0.0000 0.5000 0.5000  4 P 3.59-3.64, 8 Sr 3.63-3.64
11 Sr 0.5000 0.5000 0.0000  4 P 3.59-3.64, 8 Sr 3.63-3.64
12 P 0.0000 0.0000 0.5000  12 Sr 3.53-3.64
13 Sr 0.1582 0.3165 0.7500  8 Sr 3.45-3.82, 4 P 3.53-3.64
14 P 0.3333 0.6667 0.2500  12 Sr 3.59-3.64
15 Sr 0.1582 0.8418 0.7500  8 Sr 3.45-3.82, 4 P 3.53-3.64
16 Sr 0.8418 0.6835 0.2500  8 Sr 3.45-3.82, 4 P 3.53-3.64

---

(2)
# Sr3P2

A relaxed Sr3P2 crystal (PBE-GGA, Alexandria via LeMat-Bulk).

Computed properties:
calculated formation energy	-901	meV per atom
DFT total energy	-4.074	eV/atom

abc: 4.6590 4.6590 10.0775
angles: 76.63 76.63 60.00
Closest atoms and distances in Å follow each position.
Sites, in units of the cell vectors:
1 Sr 0.7689 0.7689 0.6933  3 P 2.92
2 Sr 0.0000 0.0000 0.0000  6 P 3.26
3 P 0.3965 0.3965 0.8106  6 Sr 2.92-3.26
4 P 0.6035 0.6035 0.1894  6 Sr 2.92-3.26
5 Sr 0.2311 0.2311 0.3067  3 P 2.92

---

(3)
# Sr3P

A relaxed Sr3P crystal (PBE-GGA, Alexandria via LeMat-Bulk).

Computed properties:
calculated formation energy	-578	meV per atom
DFT total energy	-3.192	eV/atom

abc: 4.3665 7.5551 7.5551
angles: 48.03 90.00 90.00
Closest atoms and distances in Å follow each position.
Sites, in units of the cell vectors:
1 Sr 0.5000 0.1475 0.1477  2 P 2.99
2 P 0.0000 0.0000 0.0000  6 Sr 2.99-3.07
3 Sr 0.0000 0.5000 0.5000  2 P 3.07
4 Sr 0.5000 0.8525 0.8523  2 P 2.99

---

(4)
# SrP2

A relaxed SrP2 crystal (PBE-GGA, Alexandria via LeMat-Bulk).

Computed properties:
calculated formation energy	-581	meV per atom
DFT total energy	-4.748	eV/atom

abc: 4.2284 4.2284 4.3505
angles: 90.00 90.00 120.00
Closest atoms and distances in Å follow each position.
Sites, in units of the cell vectors:
1 P 0.6667 0.3333 0.5377  3 P 2.46
2 Sr 0.0000 0.0000 0.0000  12 P 3.16-3.38
3 P 0.3333 0.6667 0.4623  3 P 2.46

---

(5)
# SrP3

A relaxed SrP3 crystal (PBE-GGA, Alexandria via LeMat-Bulk).

Computed properties:
calculated formation energy	-210	meV per atom
DFT total energy	-4.688	eV/atom

abc: 5.9880 5.9880 6.4047
angles: 90.00 90.00 120.00
Closest atoms and distances in Å follow each position.
Sites, in units of the cell vectors:
1 Sr 0.3333 0.6667 0.2500  6 P 3.03
2 P 0.1216 0.2433 0.7500  2 P 2.19
3 P 0.7567 0.8784 0.7500  2 P 2.19
4 Sr 0.6667 0.3333 0.7500  6 P 3.03
5 P 0.8784 0.7567 0.2500  2 P 2.19
6 P 0.2433 0.1216 0.2500  2 P 2.19
7 P 0.8784 0.1216 0.2500  2 P 2.19
8 P 0.1216 0.8784 0.7500  2 P 2.19

---

(6)
# Sr3P

A relaxed Sr3P crystal (PBE-GGA, Alexandria via LeMat-Bulk).

Computed properties:
calculated formation energy	-408	meV per atom
DFT total energy	-3.022	eV/atom

abc: 10.6612 10.6612 4.0896
angles: 90.00 90.00 120.00
Closest atoms and distances in Å follow each position.
Sites, in units of the cell vectors:
1 Sr 0.2123 0.4245 0.2500  2 P 3.03
2 Sr 0.7877 0.2123 0.7500  2 P 3.03
3 Sr 0.2123 0.7877 0.2500  2 P 3.03
4 Sr 0.5755 0.7877 0.2500  2 P 3.03
5 P 0.3333 0.6667 0.7500  6 Sr 3.03
6 Sr 0.7877 0.5755 0.7500  2 P 3.03
7 P 0.6667 0.3333 0.2500  6 Sr 3.03
8 Sr 0.4245 0.2123 0.7500  2 P 3.03

---

(7)
# SrP3

A relaxed SrP3 crystal (PBE-GGA, Alexandria via LeMat-Bulk).

Computed properties:
calculated formation energy	141	meV per atom
DFT total energy	-4.337	eV/atom

abc: 5.6584 5.6584 5.6584
angles: 137.90 137.90 61.05
Closest atoms and distances in Å follow each position.
Sites, in units of the cell vectors:
1 P 0.2500 0.7500 0.5000  8 P 2.87-3.17, 4 Sr 3.17
2 P 0.7500 0.2500 0.5000  8 P 2.87-3.17, 4 Sr 3.17
3 Sr 0.0000 0.0000 0.0000  12 P 2.87-3.17
4 P 0.5000 0.5000 0.0000  4 Sr 2.87, 8 P 3.17

---

(8)
# SrP3

A relaxed SrP3 crystal (PBE-GGA, Alexandria via LeMat-Bulk).

Computed properties:
calculated formation energy	-48	meV per atom
DFT total energy	-4.525	eV/atom

abc: 3.6146 3.8110 5.8639
angles: 90.00 90.00 90.00
Closest atoms and distances in Å follow each position.
Sites, in units of the cell vectors:
1 P 0.5000 0.5000 0.3181  1 P 2.13
2 P 0.5000 0.5000 0.6819  1 P 2.13
3 Sr 0.0000 0.0000 0.0000  10 P 2.93-3.22
4 P 0.0000 0.0000 0.5000  8 P 2.83, 2 Sr 2.93

---

(9)
# Sr3P

A relaxed Sr3P crystal (PBE-GGA, Alexandria via LeMat-Bulk).

Computed properties:
calculated formation energy	-304	meV per atom
DFT total energy	-2.918	eV/atom

abc: 4.9519 4.9519 6.8802
angles: 90.00 90.00 90.00
Closest atoms and distances in Å follow each position.
Sites, in units of the cell vectors:
1 Sr 0.5000 0.5000 0.8922  4 P 3.76, 4 Sr 3.99
2 Sr 0.5000 0.0000 0.3462  2 P 3.03
3 P 0.0000 0.0000 0.0916  4 Sr 3.03
4 Sr 0.0000 0.5000 0.3462  2 P 3.03

---

(10)
# SrP

A relaxed SrP crystal (PBE-GGA, Alexandria via LeMat-Bulk).

Computed properties:
calculated formation energy	-864	meV per atom
DFT total energy	-4.409	eV/atom

abc: 5.2583 5.2583 6.3136
angles: 88.15 88.15 67.81
Closest atoms and distances in Å follow each position.
Sites, in units of the cell vectors:
1 P 0.5000 0.5000 0.0000  8 Sr 3.02-3.36
2 Sr 0.5000 0.5000 0.5000  8 P 3.14-3.47
3 Sr 0.8308 0.8308 0.1220  6 P 3.02-3.37, 1 Sr 3.28
4 P 0.8890 0.8890 0.5918  1 P 2.22
5 Sr 0.1692 0.1692 0.8780  6 P 3.02-3.37, 1 Sr 3.28
6 P 0.1110 0.1110 0.4082  1 P 2.22

---

(11)
# SrP

A relaxed SrP crystal (PBE-GGA, Alexandria via LeMat-Bulk).

Computed properties:
calculated formation energy	-807	meV per atom
DFT total energy	-4.353	eV/atom

abc: 6.2728 6.2728 6.0526
angles: 90.00 90.00 90.00
Closest atoms and distances in Å follow each position.
Sites, in units of the cell vectors:
1 Sr 0.7001 0.2999 0.5000  4 P 2.91-3.08
2 P 0.1340 0.1340 0.5000  1 P 2.38
3 P 0.6340 0.3660 0.0000  1 P 2.38
4 Sr 0.2001 0.2001 0.0000  4 P 2.91-3.08
5 P 0.8660 0.8660 0.5000  1 P 2.38
6 Sr 0.7999 0.7999 0.0000  4 P 2.91-3.08
7 Sr 0.2999 0.7001 0.5000  4 P 2.91-3.08
8 P 0.3660 0.6340 0.0000  1 P 2.38

---

(12)
# SrP3

A relaxed SrP3 crystal (PBE-GGA, Alexandria via LeMat-Bulk).

Computed properties:
calculated formation energy	35	meV per atom
DFT total energy	-4.442	eV/atom

abc: 4.2765 4.2765 4.2765
angles: 90.00 90.00 90.00
Closest atoms and distances in Å follow each position.
Sites, in units of the cell vectors:
1 P 0.5000 0.5000 0.0000  8 P 3.02, 4 Sr 3.02
2 P 0.0000 0.5000 0.5000  4 Sr 3.02, 8 P 3.02
3 P 0.5000 0.0000 0.5000  8 P 3.02, 4 Sr 3.02
4 Sr 0.0000 0.0000 0.0000  12 P 3.02

---

(13)
# SrP4

A relaxed SrP4 crystal (PBE-GGA, Alexandria via LeMat-Bulk).

Computed properties:
calculated formation energy	981	meV per atom
DFT total energy	-3.684	eV/atom

abc: 5.5202 5.5202 5.5202
angles: 109.47 109.47 109.47
Closest atoms and distances in Å follow each position.
Sites, in units of the cell vectors:
1 P 0.0000 0.5000 0.0000  2 Sr 2.76
2 P 0.5000 0.5000 0.5000  2 Sr 2.76
3 Sr 0.0000 0.0000 0.0000  8 P 2.76
4 P 0.0000 0.0000 0.5000  2 Sr 2.76
5 P 0.5000 0.0000 0.0000  2 Sr 2.76

---

(14)
# SrP

A relaxed SrP crystal (PBE-GGA, Alexandria via LeMat-Bulk).

Computed properties:
calculated formation energy	-951	meV per atom
DFT total energy	-4.497	eV/atom

abc: 5.8968 5.8968 4.5925
angles: 81.18 81.18 42.87
Closest atoms and distances in Å follow each position.
Sites, in units of the cell vectors:
1 Sr 0.1310 0.1310 0.7614  7 P 3.05-3.33, 1 Sr 3.32
2 P 0.4140 0.4140 0.6772  1 P 2.28
3 Sr 0.8690 0.8690 0.2386  7 P 3.05-3.33, 1 Sr 3.32
4 P 0.5860 0.5860 0.3228  1 P 2.28

---

(15)
# SrP

A relaxed SrP crystal (PBE-GGA, Alexandria via LeMat-Bulk).

Computed properties:
calculated formation energy	-543	meV per atom
DFT total energy	-4.089	eV/atom

abc: 4.0184 4.0184 4.1991
angles: 90.00 90.00 120.00
Closest atoms and distances in Å follow each position.
Sites, in units of the cell vectors:
1 Sr 0.6667 0.3333 0.5000  6 P 3.13
2 P 0.0000 0.0000 0.0000  6 Sr 3.13

---

(16)
# Sr4P5

A relaxed Sr4P5 crystal (PBE-GGA, Alexandria via LeMat-Bulk).

Computed properties:
calculated formation energy	-404	meV per atom
DFT total energy	-4.157	eV/atom

abc: 9.1178 9.1178 6.3211
angles: 90.00 90.00 120.00
Closest atoms and distances in Å follow each position.
Sites, in units of the cell vectors:
1 P 0.6667 0.3333 0.5000  2 P 3.16, 6 Sr 3.24
2 P 0.3333 0.6667 0.5000  2 P 3.16, 6 Sr 3.24
3 Sr 0.6130 0.0000 0.7500  9 P 2.94-3.28
4 P 0.7096 0.0000 0.2500  7 Sr 2.94-3.28
5 Sr 0.0000 0.6130 0.7500  9 P 2.94-3.28
6 P 0.0000 0.2904 0.7500  7 Sr 2.94-3.28
7 P 0.6667 0.3333 0.0000  2 P 3.16, 6 Sr 3.24
8 Sr 0.3870 0.3870 0.7500  9 P 2.94-3.28
9 Sr 0.0000 0.3870 0.2500  9 P 2.94-3.28
10 P 0.7096 0.7096 0.7500  7 Sr 2.94-3.28
11 P 0.2904 0.0000 0.7500  7 Sr 2.94-3.28
12 Sr 0.0000 0.0000 0.0000  6 P 3.08, 2 Sr 3.16
13 P 0.2904 0.2904 0.2500  7 Sr 2.94-3.28
14 P 0.3333 0.6667 0.0000  2 P 3.16, 6 Sr 3.24
15 Sr 0.0000 0.0000 0.5000  6 P 3.08, 2 Sr 3.16
16 Sr 0.3870 0.0000 0.2500  9 P 2.94-3.28
17 P 0.0000 0.7096 0.2500  7 Sr 2.94-3.28
18 Sr 0.6130 0.6130 0.2500  9 P 2.94-3.28

---

(17)
# SrP2

A relaxed SrP2 crystal (PBE-GGA, Alexandria via LeMat-Bulk).

Computed properties:
calculated formation energy	-626	meV per atom
DFT total energy	-4.793	eV/atom

abc: 8.8957 8.8957 8.8957
angles: 153.72 153.72 37.51
Closest atoms and distances in Å follow each position.
Sites, in units of the cell vectors:
1 Sr 0.5000 0.5000 0.0000  12 P 3.27-3.31
2 Sr 0.2500 0.7500 0.5000  12 P 3.27-3.31
3 P 0.6557 0.1557 0.5000  2 P 2.27
4 P 0.8443 0.3443 0.5000  2 P 2.27
5 P 0.9057 0.9057 0.0000  2 P 2.27
6 P 0.0943 0.0943 0.0000  2 P 2.27

---

(18)
# Sr2TaP

A relaxed Sr2TaP crystal (PBE-GGA, Alexandria via LeMat-Bulk).

Computed properties:
calculated formation energy	-118	meV per atom
DFT total energy	-5.275	eV/atom

abc: 3.5203 3.5203 9.1378
angles: 90.00 90.00 90.00
Closest atoms and distances in Å follow each position.
Sites, in units of the cell vectors:
1 Sr 0.5000 0.5000 0.3210  1 P 3.14, 4 Ta 3.48
2 Ta 0.0000 0.0000 0.5873  4 P 2.59
3 P 0.5000 0.5000 0.6649  4 Ta 2.59
4 Sr 0.0000 0.0000 0.9267  1 Ta 3.10, 4 P 3.45

---

(19)
# Sr2TaP

A relaxed Sr2TaP crystal (PBE-GGA, Alexandria via LeMat-Bulk).

Computed properties:
calculated formation energy	542	meV per atom
DFT total energy	-4.614	eV/atom

abc: 5.7982 5.7982 3.2055
angles: 90.00 90.00 112.16
Closest atoms and distances in Å follow each position.
Sites, in units of the cell vectors:
1 Sr 0.5000 0.0000 0.0000  4 Sr 3.21-3.24, 4 P 3.31, 4 Ta 3.31
2 Ta 0.0000 0.0000 0.5000  2 Ta 3.21, 2 P 3.24, 8 Sr 3.31
3 Sr 0.0000 0.5000 0.0000  4 Sr 3.21-3.24, 4 Ta 3.31, 4 P 3.31
4 P 0.5000 0.5000 0.5000  2 P 3.21, 2 Ta 3.24, 8 Sr 3.31

---

(20)
# SrTaP2

A relaxed SrTaP2 crystal (PBE-GGA, Alexandria via LeMat-Bulk).

Computed properties:
calculated formation energy	-786	meV per atom
DFT total energy	-6.875	eV/atom

abc: 3.7035 3.7035 7.4115
angles: 75.52 75.52 59.98
Closest atoms and distances in Å follow each position.
Sites, in units of the cell vectors:
1 Sr 0.4962 0.4962 0.5113  6 P 2.94-3.07
2 P 0.2666 0.2666 0.2004  3 Ta 2.60
3 Ta 0.6691 0.6691 0.9929  6 P 2.56-2.60
4 P 0.0682 0.0682 0.7954  3 Ta 2.56